20
Lattice="-3.7448 3.7448 3.7448 3.7448 -3.7448 3.7448 3.7448 3.7448 -3.7448" Properties=species:S:1:pos:R:3 comment="GGA+U LaZn3Cr4O12, optimized geometry" rho_g_cm3=5.81 e_tot_ev_per_atom=-6.692 dos_ef_per_ev_cell=3.01 pbc="T T T"
La 0.0000 0.0000 0.0000
Zn 3.7448 0.0000 0.0000
Zn 0.0000 3.7448 0.0000
Zn 0.0000 0.0000 3.7448
Cr 1.8724 1.8724 -1.8724
Cr 1.8724 -1.8724 1.8724
Cr -1.8724 1.8724 1.8724
Cr 1.8724 1.8724 1.8724
O 3.7448 -1.5122 2.3625
O 2.2325 1.3823 0.0000
O 5.2570 1.3823 0.0000
O 2.3625 3.7448 -1.5122
O 1.3823 0.0000 2.2325
O 0.0000 2.2325 1.3823
O 3.7448 1.5122 2.3625
O 2.3625 3.7448 1.5122
O 1.3823 0.0000 5.2570
O -1.5122 2.3625 3.7448
O 1.5122 2.3625 3.7448
O 0.0000 5.2570 1.3823